Density functional theory data (PBE-GGA) for crystalline ScBe3Te at its relaxed geometry.

Computed properties:
**Distance to the lowest polymorph of the same formula**: 456 meV/atom
**E_form (uncorrected)**: 1.583 eV/atom
**Total magnetization**: 0.138 μB per atom

Cell lengths 4.814, 4.814, 4.814 Å; angles 90.00, 90.00, 90.00 degrees
Space group Pm-3m (No. 221)
Asymmetric unit:
Sc  0.000  0.000  0.000
Be  0.000  0.000  0.500
Te  0.500  0.500  0.500


Density functional theory data (PBE-GGA) for crystalline ScBeTe2 at its relaxed geometry.

Computed properties:
**E_form (uncorrected)**: -0.613 eV/atom
**Total magnetization**: 0.000 μB per atom

Cell lengths 11.857, 3.868, 3.904 Å; angles 90.00, 90.01, 90.00 degrees
Space group Cm (No. 8)
Asymmetric unit:
Sc  0.000  0.000  0.000
Be  0.198  0.000  0.502
Te  0.185  0.500  0.000
Te  0.407  0.000  0.500


Density functional theory data (PBE-GGA) for crystalline ScBeTe at its relaxed geometry.

Computed properties:
**Distance to the lowest polymorph of the same formula**: 270 meV/atom
**E_form (uncorrected)**: 0.150 eV/atom
**Total magnetization**: 0.000 μB per atom

Cell lengths 6.562, 6.562, 6.562 Å; angles 90.00, 90.00, 90.00 degrees
Space group F-43m (No. 216)
Asymmetric unit:
Sc  0.000  0.000  0.000
Be  0.250  0.250  0.250
Te  0.250  0.250  0.750


Density functional theory data (PBE-GGA) for crystalline ScBeTe2 at its relaxed geometry.

Computed properties:
**E_form (uncorrected)**: -0.057 eV/atom
**Total magnetization**: 0.000 μB per atom

Cell lengths 5.411, 5.411, 6.180 Å; angles 90.00, 90.00, 90.00 degrees
Space group I4/mmm (No. 139)
Asymmetric unit:
Sc  0.000  0.000  0.000
Be  0.000  0.000  0.500
Te  0.000  0.500  0.250


Density functional theory data (PBE-GGA) for crystalline ScBeTe at its relaxed geometry.

Computed properties:
**Distance to the lowest polymorph of the same formula**: 35 meV/atom
**E_form (uncorrected)**: -0.086 eV/atom
**Total magnetization**: 0.000 μB per atom

Cell lengths 3.693, 3.693, 8.860 Å; angles 90.00, 90.00, 90.00 degrees
Space group I4mm (No. 107)
Asymmetric unit:
Sc  0.000  0.000  0.000
Be  0.000  0.000  0.369
Te  0.000  0.000  0.662


Density functional theory data (PBE-GGA) for crystalline ScBeTe2 at its relaxed geometry.

Computed properties:
**E_form (uncorrected)**: -0.447 eV/atom
**Total magnetization**: 0.000 μB per atom

Cell lengths 3.985, 3.985, 5.986 Å; angles 90.00, 90.00, 90.00 degrees
Space group P4mm (No. 99)
Asymmetric unit:
Sc  0.000  0.000  0.000
Be  0.500  0.500  0.614
Te  0.000  0.000  0.516
Te  0.500  0.500  0.034


Density functional theory data (PBE-GGA) for crystalline ScBeVTe2 at its relaxed geometry.

Computed properties:
**E_form (uncorrected)**: 1.164 eV/atom
**Total magnetization**: 0.001 μB per atom

Cell lengths 5.454, 5.454, 4.447 Å; angles 90.00, 90.00, 90.00 degrees
Space group P4/mmm (No. 123)
Asymmetric unit:
Sc  0.000  0.000  0.000
Be  0.500  0.500  0.500
V  0.000  0.000  0.500
Te  0.000  0.500  0.000


Density functional theory data (PBE-GGA) for crystalline ThSc2Be at its relaxed geometry.

Computed properties:
**DFT formation energy**: 0.1 eV/f.u.
**Total magnetization**: 0.000 μB per atom

Cell lengths 3.304, 3.304, 8.015 Å; angles 90.00, 90.00, 90.00 degrees
Space group P4/mmm (No. 123)
Asymmetric unit:
Th  0.000  0.000  0.000
Sc  0.500  0.500  0.311
Be  0.000  0.000  0.500


Density functional theory data (PBE-GGA) for crystalline ThScBe17 at its relaxed geometry.

Computed properties:
**DFT formation energy**: -2.0 eV/f.u.
**Total magnetization**: 0.000 μB per atom

Cell lengths 7.7427, 7.7427, 11.2953 Å; angles 90.00, 90.00, 120.00 degrees
Space group R3m (No. 160, hexagonal axes)
Asymmetric unit:
Th  0.0000  0.0000  0.0000
Sc  0.0000  0.0000  0.3220
Be  0.0000  0.0000  0.5616
Be  0.0000  0.0000  0.7514
Be  0.0012  0.5006  0.4995
Be  0.0027  0.5014  0.1575
Be  0.0573  0.3874  0.3251
Be  0.1709  0.3419  0.1548


Density functional theory data (PBE-GGA) for crystalline ThScBe at its relaxed geometry.

Computed properties:
**DFT formation energy**: 0.4 eV/f.u.
**Total magnetization**: 0.000 μB per atom

Cell lengths 3.308, 3.308, 12.149 Å; angles 90.00, 90.00, 90.00 degrees
Space group I4mm (No. 107)
Asymmetric unit:
Th  0.000  0.000  0.000
Sc  0.000  0.000  0.284
Be  0.000  0.000  0.660


Density functional theory data (PBE-GGA) for crystalline ThScBe4 at its relaxed geometry.

Computed properties:
**DFT formation energy**: 0.4 eV/f.u.
**Total magnetization**: 0.000 μB per atom

Cell lengths 7.046, 7.046, 7.046 Å; angles 90.00, 90.00, 90.00 degrees
Space group F-43m (No. 216)
Asymmetric unit:
Th  0.000  0.000  0.000
Sc  0.250  0.250  0.750
Be  0.120  0.120  0.380


Density functional theory data (PBE-GGA) for crystalline ThScBe2 at its relaxed geometry.

Computed properties:
**Distance to the lowest polymorph of the same formula**: 24 meV/atom
**DFT formation energy**: 0.4 eV/f.u.
**Total magnetization**: 0.000 μB per atom

Cell lengths 6.723, 6.723, 6.723 Å; angles 90.00, 90.00, 90.00 degrees
Space group Fm-3m (No. 225)
Asymmetric unit:
Th  0.000  0.000  0.000
Sc  0.000  0.000  0.500
Be  0.250  0.250  0.250


Density functional theory data (PBE-GGA) for crystalline ThScBe2 at its relaxed geometry.

Computed properties:
**Distance to the lowest polymorph of the same formula**: 0 meV/atom
**DFT formation energy**: 0.3 eV/f.u.
**Total magnetization**: 0.000 μB per atom

Cell lengths 3.332, 3.332, 6.684 Å; angles 90.00, 90.00, 90.00 degrees
Space group P4/mmm (No. 123)
Asymmetric unit:
Th  0.000  0.000  0.000
Sc  0.000  0.000  0.500
Be  0.500  0.500  0.302


Density functional theory data (PBE-GGA) for crystalline ThScBeZn at its relaxed geometry.

Computed properties:
**DFT formation energy**: -0.2 eV/f.u.
**Total magnetization**: 0.000 μB per atom

Cell lengths 6.917, 6.917, 6.917 Å; angles 90.00, 90.00, 90.00 degrees
Space group F-43m (No. 216)
Asymmetric unit:
Th  0.000  0.000  0.000
Sc  0.000  0.000  0.500
Be  0.250  0.250  0.750
Zn  0.250  0.250  0.250


Density functional theory data (PBE-GGA) for crystalline ScTiBe2 at its relaxed geometry.

Computed properties:
**Distance to the lowest polymorph of the same formula**: 549 meV/atom
**DFT formation energy**: 1.9 eV/f.u.
**Total magnetization**: 0.000 μB per atom

Cell lengths 6.960, 6.960, 4.818 Å; angles 90.00, 90.00, 90.00 degrees
Space group I-42d (No. 122)
Asymmetric unit:
Sc  0.000  0.000  0.000
Ti  0.000  0.000  0.500
Be  0.236  0.250  0.625


Density functional theory data (PBE-GGA) for crystalline ScTiBe3 at its relaxed geometry.

Computed properties:
**Distance to the lowest polymorph of the same formula**: 584 meV/atom
**DFT formation energy**: 7.6 eV/f.u.
**Total magnetization**: 0.246 μB per atom

Cell lengths 4.352, 4.352, 4.352 Å; angles 90.00, 90.00, 90.00 degrees
Space group Pm-3m (No. 221)
Asymmetric unit:
Sc  0.000  0.000  0.000
Ti  0.500  0.500  0.500
Be  0.000  0.000  0.500


Density functional theory data (PBE-GGA) for crystalline ScTiBe4 at its relaxed geometry.

Computed properties:
**DFT formation energy**: -0.6 eV/f.u.
**Total magnetization**: 0.228 μB per atom

Cell lengths 6.598, 6.598, 6.598 Å; angles 90.00, 90.00, 90.00 degrees
Space group F-43m (No. 216)
Asymmetric unit:
Sc  0.000  0.000  0.000
Ti  0.250  0.250  0.250
Be  0.123  0.123  0.623


Density functional theory data (PBE-GGA) for crystalline ScTiBe2 at its relaxed geometry.

Computed properties:
**Distance to the lowest polymorph of the same formula**: 0 meV/atom
**DFT formation energy**: -0.3 eV/f.u.
**Total magnetization**: 0.000 μB per atom

Cell lengths 3.054, 3.054, 6.071 Å; angles 90.00, 90.00, 90.00 degrees
Space group P4/mmm (No. 123)
Asymmetric unit:
Sc  0.000  0.000  0.000
Ti  0.000  0.000  0.500
Be  0.500  0.500  0.281


Density functional theory data (PBE-GGA) for crystalline Sc2TiBe at its relaxed geometry.

Computed properties:
**DFT formation energy**: 1.8 eV/f.u.
**Total magnetization**: 0.000 μB per atom

Cell lengths 3.0333, 3.0333, 29.3470 Å; angles 90.00, 90.00, 120.00 degrees
Space group R-3m (No. 166, hexagonal axes)
Asymmetric unit:
Sc  0.0000  0.0000  0.0996
Ti  0.0000  0.0000  0.0000
Be  0.0000  0.0000  0.5000


Density functional theory data (PBE-GGA) for crystalline ScTi2Be at its relaxed geometry.

Computed properties:
**DFT formation energy**: 0.3 eV/f.u.
**Total magnetization**: 0.001 μB per atom

Cell lengths 2.897, 2.897, 7.878 Å; angles 90.00, 90.00, 90.00 degrees
Space group P4/mmm (No. 123)
Asymmetric unit:
Sc  0.000  0.000  0.000
Ti  0.500  0.500  0.301
Be  0.000  0.000  0.500


Density functional theory data (PBE-GGA) for crystalline Sc2TiBe at its relaxed geometry.

Computed properties:
**DFT formation energy**: 0.2 eV/f.u.
**Total magnetization**: 0.000 μB per atom

Cell lengths 3.107, 3.107, 7.598 Å; angles 90.00, 90.00, 90.00 degrees
Space group P4/mmm (No. 123)
Asymmetric unit:
Sc  0.000  0.000  0.218
Ti  0.500  0.500  0.500
Be  0.500  0.500  0.000


Density functional theory data (PBE-GGA) for crystalline ScTiBe2 at its relaxed geometry.

Computed properties:
**Distance to the lowest polymorph of the same formula**: 45 meV/atom
**DFT formation energy**: -0.1 eV/f.u.
**Total magnetization**: 0.000 μB per atom

Cell lengths 6.100, 6.100, 6.100 Å; angles 90.00, 90.00, 90.00 degrees
Space group Fm-3m (No. 225)
Asymmetric unit:
Sc  0.000  0.000  0.000
Ti  0.000  0.000  0.500
Be  0.250  0.250  0.250


Density functional theory data (PBE-GGA) for crystalline ScTi2Be6 at its relaxed geometry.

Computed properties:
**DFT formation energy**: -0.9 eV/f.u.
**Total magnetization**: 0.000 μB per atom

Cell lengths 6.5417, 6.5417, 2.9442 Å; angles 90.00, 90.00, 120.00 degrees
Space group P6/mmm (No. 191)
Asymmetric unit:
Sc  0.0000  0.0000  0.0000
Ti  0.3333  0.6667  0.0000
Be  0.0000  0.3409  0.5000


Density functional theory data (PBE-GGA) for crystalline ScTi2Be at its relaxed geometry.

Computed properties:
**DFT formation energy**: 1.7 eV/f.u.
**Total magnetization**: 0.001 μB per atom

Cell lengths 3.763, 3.763, 19.227 Å; angles 90.00, 90.00, 90.00 degrees
Space group I-42d (No. 122)
Asymmetric unit:
Sc  0.000  0.000  0.000
Ti  0.232  0.250  0.625
Be  0.000  0.000  0.500


Density functional theory data (PBE-GGA) for crystalline ScTi2Be9 at its relaxed geometry.

Computed properties:
**DFT formation energy**: -2.5 eV/f.u.
**Total magnetization**: 0.173 μB per atom

Cell lengths 4.5469, 4.5469, 21.5238 Å; angles 90.00, 90.00, 120.00 degrees
Space group R-3m (No. 166, hexagonal axes)
Asymmetric unit:
Sc  0.0000  0.0000  0.0000
Ti  0.0000  0.0000  0.1447
Be  0.0000  0.0000  0.3342
Be  0.0000  0.0000  0.5000
Be  0.0023  0.5012  0.9175


Density functional theory data (PBE-GGA) for crystalline Sc2TiBe2 at its relaxed geometry.

Computed properties:
**DFT formation energy**: 0.5 eV/f.u.
**Total magnetization**: 0.256 μB per atom

Cell lengths 7.172, 7.172, 3.276 Å; angles 90.00, 90.00, 90.00 degrees
Space group P4/mbm (No. 127)
Asymmetric unit:
Sc  0.181  0.319  0.000
Ti  0.000  0.000  0.500
Be  0.112  0.612  0.500


Density functional theory data (PBE-GGA) for crystalline ScTiBe17 at its relaxed geometry.

Computed properties:
**DFT formation energy**: -3.7 eV/f.u.
**Total magnetization**: 0.000 μB per atom

Cell lengths 7.4281, 7.4281, 10.8448 Å; angles 90.00, 90.00, 120.00 degrees
Space group R3m (No. 160, hexagonal axes)
Asymmetric unit:
Sc  0.0000  0.0000  0.0000
Ti  0.0000  0.0000  0.6729
Be  0.0000  0.0000  0.2418
Be  0.0000  0.0000  0.4380
Be  0.0008  0.5004  0.1812
Be  0.0017  0.2925  0.3378
Be  0.0045  0.5022  0.4943
Be  0.1675  0.3350  0.1722